# PBE YCdRe, optimized geometry
data_YCdRe
_cell_length_a 6.813
_cell_length_b 6.813
_cell_length_c 6.813
_cell_angle_alpha 90.00
_cell_angle_beta 90.00
_cell_angle_gamma 90.00
_space_group_name_H-M_alt 'F -4 3 m'
_space_group_IT_number 216
_space_group_name_Hall 'F -4 2 3'
loop_
_atom_site_label
_atom_site_type_symbol
_atom_site_fract_x
_atom_site_fract_y
_atom_site_fract_z
_atom_site_occupancy
Y1 Y 0.000 0.000 0.000 1
Cd1 Cd 0.250 0.250 0.250 1
Re1 Re 0.250 0.250 0.750 1
# - density (g cm⁻³) = 8.14
# - final energy (eV/atom) = -5.325



# PBE YCdRe, optimized geometry
data_YCdRe
_cell_length_a 4.9845
_cell_length_b 4.9845
_cell_length_c 2.8774
_cell_angle_alpha 90.00
_cell_angle_beta 90.00
_cell_angle_gamma 120.00
_space_group_name_H-M_alt 'P 3 m 1'
_space_group_IT_number 156
loop_
_space_group_symop_operation_xyz
'x,y,z'
'-y,x-y,z'
'-x+y,-x,z'
'-y,-x,z'
'-x+y,y,z'
'x,x-y,z'
loop_
_atom_site_label
_atom_site_type_symbol
_atom_site_fract_x
_atom_site_fract_y
_atom_site_fract_z
_atom_site_occupancy
Y1 Y 0.0000 0.0000 0.0000 1
Cd1 Cd 0.6667 0.3333 0.4802 1
Re1 Re 0.3333 0.6667 0.5208 1
# - density (g cm⁻³) = 10.39
# - final energy (eV/atom) = -6.206



# PBE Y2CdRe, optimized geometry
data_Y2CdRe
_cell_length_a 4.408
_cell_length_b 4.408
_cell_length_c 9.294
_cell_angle_alpha 90.00
_cell_angle_beta 90.00
_cell_angle_gamma 90.00
_space_group_name_H-M_alt 'I -4 m 2'
_space_group_IT_number 119
_space_group_name_Hall 'I -4 -2'
loop_
_atom_site_label
_atom_site_type_symbol
_atom_site_fract_x
_atom_site_fract_y
_atom_site_fract_z
_atom_site_occupancy
Y1 Y 0.000 0.000 0.000 1
Y2 Y 0.000 0.500 0.250 1
Cd1 Cd 0.000 0.500 0.750 1
Re1 Re 0.000 0.000 0.500 1
# - density (g cm⁻³) = 8.76
# - final energy (eV/atom) = -6.338



# PBE Y2CdRe, optimized geometry
data_Y2CdRe
_cell_length_a 7.947
_cell_length_b 3.327
_cell_length_c 7.970
_cell_angle_alpha 90.00
_cell_angle_beta 99.24
_cell_angle_gamma 90.00
_space_group_name_H-M_alt 'C 1 2/m 1'
_space_group_IT_number 12
loop_
_space_group_symop_operation_xyz
'x,y,z'
'-x,-y,-z'
'-x,y,-z'
'x,-y,z'
'x+1/2,y+1/2,z'
'-x+1/2,-y+1/2,-z'
'-x+1/2,y+1/2,-z'
'x+1/2,-y+1/2,z'
loop_
_atom_site_label
_atom_site_type_symbol
_atom_site_fract_x
_atom_site_fract_y
_atom_site_fract_z
_atom_site_occupancy
Y1 Y 0.239 0.000 0.205 1
Cd1 Cd 0.000 0.000 0.500 1
Re1 Re 0.000 0.500 0.000 1
# - density (g cm⁻³) = 7.61
# - final energy (eV/atom) = -6.269



# PBE Y2CdRe, optimized geometry
data_Y2CdRe
_cell_length_a 3.509
_cell_length_b 3.509
_cell_length_c 7.674
_cell_angle_alpha 90.00
_cell_angle_beta 90.00
_cell_angle_gamma 90.00
_space_group_name_H-M_alt 'P 4/m m m'
_space_group_IT_number 123
_space_group_name_Hall '-P 4 2'
loop_
_atom_site_label
_atom_site_type_symbol
_atom_site_fract_x
_atom_site_fract_y
_atom_site_fract_z
_atom_site_occupancy
Y1 Y 0.000 0.000 0.215 1
Cd1 Cd 0.500 0.500 0.500 1
Re1 Re 0.500 0.500 0.000 1
# - density (g cm⁻³) = 8.37
# - final energy (eV/atom) = -6.610



# PBE YCdRe2, optimized geometry
data_YCdRe2
_cell_length_a 3.131
_cell_length_b 3.131
_cell_length_c 7.980
_cell_angle_alpha 90.00
_cell_angle_beta 90.00
_cell_angle_gamma 90.00
_space_group_name_H-M_alt 'P 4 m m'
_space_group_IT_number 99
loop_
_space_group_symop_operation_xyz
'x,y,z'
'-y,x,z'
'-x,-y,z'
'y,-x,z'
'-x,y,z'
'y,x,z'
'x,-y,z'
'-y,-x,z'
loop_
_atom_site_label
_atom_site_type_symbol
_atom_site_fract_x
_atom_site_fract_y
_atom_site_fract_z
_atom_site_occupancy
Y1 Y 0.000 0.000 0.000 1
Cd1 Cd 0.500 0.500 0.310 1
Re1 Re 0.000 0.000 0.564 1
Re2 Re 0.500 0.500 0.734 1
# - density (g cm⁻³) = 12.18
# - final energy (eV/atom) = -7.981



# PBE Y2CdRe, optimized geometry
data_Y2CdRe
_cell_length_a 4.500
_cell_length_b 4.500
_cell_length_c 19.924
_cell_angle_alpha 90.00
_cell_angle_beta 90.00
_cell_angle_gamma 90.00
_space_group_name_H-M_alt 'I -4 2 d'
_space_group_IT_number 122
_space_group_name_Hall 'I -4 2bw'
loop_
_atom_site_label
_atom_site_type_symbol
_atom_site_fract_x
_atom_site_fract_y
_atom_site_fract_z
_atom_site_occupancy
Y1 Y 0.231 0.250 0.125 1
Cd1 Cd 0.000 0.000 0.500 1
Re1 Re 0.000 0.000 0.000 1
# - density (g cm⁻³) = 7.84
# - final energy (eV/atom) = -5.702



# PBE Y2CdRe, optimized geometry
data_Y2CdRe
_cell_length_a 3.4785
_cell_length_b 3.4785
_cell_length_c 28.2104
_cell_angle_alpha 90.00
_cell_angle_beta 90.00
_cell_angle_gamma 120.00
_space_group_name_H-M_alt 'R -3 m'
_space_group_IT_number 166
_space_group_name_Hall '-R 3 2"'
loop_
_atom_site_label
_atom_site_type_symbol
_atom_site_fract_x
_atom_site_fract_y
_atom_site_fract_z
_atom_site_occupancy
Y1 Y 0.0000 0.0000 0.2398 1
Cd1 Cd 0.0000 0.0000 0.0000 1
Re1 Re 0.0000 0.0000 0.5000 1
# - density (g cm⁻³) = 8.03
# - final energy (eV/atom) = -6.341



# PBE YCdRe, optimized geometry
data_YCdRe
_cell_length_a 3.571
_cell_length_b 3.571
_cell_length_c 9.897
_cell_angle_alpha 90.00
_cell_angle_beta 90.00
_cell_angle_gamma 90.00
_space_group_name_H-M_alt 'I 4 m m'
_space_group_IT_number 107
_space_group_name_Hall 'I 4 -2'
loop_
_atom_site_label
_atom_site_type_symbol
_atom_site_fract_x
_atom_site_fract_y
_atom_site_fract_z
_atom_site_occupancy
Y1 Y 0.000 0.000 0.000 1
Cd1 Cd 0.000 0.000 0.304 1
Re1 Re 0.000 0.000 0.668 1
# - density (g cm⁻³) = 10.20
# - final energy (eV/atom) = -6.204



# PBE YCdRe2, optimized geometry
data_YCdRe2
_cell_length_a 5.743
_cell_length_b 9.748
_cell_length_c 2.814
_cell_angle_alpha 90.00
_cell_angle_beta 111.26
_cell_angle_gamma 90.00
_space_group_name_H-M_alt 'C 1 2/m 1'
_space_group_IT_number 12
loop_
_space_group_symop_operation_xyz
'x,y,z'
'-x,-y,-z'
'-x,y,-z'
'x,-y,z'
'x+1/2,y+1/2,z'
'-x+1/2,-y+1/2,-z'
'-x+1/2,y+1/2,-z'
'x+1/2,-y+1/2,z'
loop_
_atom_site_label
_atom_site_type_symbol
_atom_site_fract_x
_atom_site_fract_y
_atom_site_fract_z
_atom_site_occupancy
Y1 Y 0.000 0.000 0.000 1
Cd1 Cd 0.000 0.500 0.000 1
Re1 Re 0.250 0.250 0.500 1
# - density (g cm⁻³) = 12.98
# - final energy (eV/atom) = -7.513



# PBE YCdRe2, optimized geometry
data_YCdRe2
_cell_length_a 7.876
_cell_length_b 7.876
_cell_length_c 5.376
_cell_angle_alpha 90.00
_cell_angle_beta 90.00
_cell_angle_gamma 90.00
_space_group_name_H-M_alt 'I -4 2 d'
_space_group_IT_number 122
_space_group_name_Hall 'I -4 2bw'
loop_
_atom_site_label
_atom_site_type_symbol
_atom_site_fract_x
_atom_site_fract_y
_atom_site_fract_z
_atom_site_occupancy
Y1 Y 0.000 0.000 0.000 1
Cd1 Cd 0.000 0.000 0.500 1
Re1 Re 0.223 0.250 0.625 1
# - density (g cm⁻³) = 11.43
# - final energy (eV/atom) = -6.906



# PBE YCdRe2, optimized geometry
data_YCdRe2
_cell_length_a 4.032
_cell_length_b 4.032
_cell_length_c 4.595
_cell_angle_alpha 90.00
_cell_angle_beta 90.00
_cell_angle_gamma 90.00
_space_group_name_H-M_alt 'P 4/m m m'
_space_group_IT_number 123
_space_group_name_Hall '-P 4 2'
loop_
_atom_site_label
_atom_site_type_symbol
_atom_site_fract_x
_atom_site_fract_y
_atom_site_fract_z
_atom_site_occupancy
Y1 Y 0.000 0.000 0.000 1
Cd1 Cd 0.500 0.500 0.000 1
Re1 Re 0.000 0.500 0.500 1
# - density (g cm⁻³) = 12.75
# - final energy (eV/atom) = -7.534



# PBE YCdRe2, optimized geometry
data_YCdRe2
_cell_length_a 6.670
_cell_length_b 6.670
_cell_length_c 6.670
_cell_angle_alpha 90.00
_cell_angle_beta 90.00
_cell_angle_gamma 90.00
_space_group_name_H-M_alt 'F -4 3 m'
_space_group_IT_number 216
_space_group_name_Hall 'F -4 2 3'
loop_
_atom_site_label
_atom_site_type_symbol
_atom_site_fract_x
_atom_site_fract_y
_atom_site_fract_z
_atom_site_occupancy
Y1 Y 0.000 0.000 0.000 1
Cd1 Cd 0.250 0.250 0.750 1
Re1 Re 0.000 0.000 0.500 1
Re2 Re 0.250 0.250 0.250 1
# - density (g cm⁻³) = 12.84
# - final energy (eV/atom) = -7.627



# PBE YCdRe2, optimized geometry
data_YCdRe2
_cell_length_a 5.864
_cell_length_b 9.336
_cell_length_c 2.726
_cell_angle_alpha 90.00
_cell_angle_beta 90.00
_cell_angle_gamma 90.00
_space_group_name_H-M_alt 'C m m m'
_space_group_IT_number 65
_space_group_name_Hall '-C 2 2'
loop_
_atom_site_label
_atom_site_type_symbol
_atom_site_fract_x
_atom_site_fract_y
_atom_site_fract_z
_atom_site_occupancy
Y1 Y 0.000 0.000 0.000 1
Cd1 Cd 0.000 0.500 0.000 1
Re1 Re 0.250 0.250 0.500 1
# - density (g cm⁻³) = 12.77
# - final energy (eV/atom) = -7.363



# PBE YCdRe, optimized geometry
data_YCdRe
_cell_length_a 3.045
_cell_length_b 3.045
_cell_length_c 13.497
_cell_angle_alpha 90.00
_cell_angle_beta 90.00
_cell_angle_gamma 90.00
_space_group_name_H-M_alt 'I 4 m m'
_space_group_IT_number 107
_space_group_name_Hall 'I 4 -2'
loop_
_atom_site_label
_atom_site_type_symbol
_atom_site_fract_x
_atom_site_fract_y
_atom_site_fract_z
_atom_site_occupancy
Y1 Y 0.000 0.000 0.000 1
Cd1 Cd 0.000 0.000 0.307 1
Re1 Re 0.000 0.000 0.657 1
# - density (g cm⁻³) = 10.28
# - final energy (eV/atom) = -6.162



# PBE YCdRe2, optimized geometry
data_YCdRe2
_cell_length_a 2.778
_cell_length_b 4.576
_cell_length_c 6.111
_cell_angle_alpha 90.00
_cell_angle_beta 90.00
_cell_angle_gamma 90.00
_space_group_name_H-M_alt 'P m m m'
_space_group_IT_number 47
loop_
_space_group_symop_operation_xyz
'x,y,z'
'-x,-y,-z'
'-x,-y,z'
'x,y,-z'
'x,-y,-z'
'-x,y,z'
'-x,y,-z'
'x,-y,z'
loop_
_atom_site_label
_atom_site_type_symbol
_atom_site_fract_x
_atom_site_fract_y
_atom_site_fract_z
_atom_site_occupancy
Y1 Y 0.000 0.000 0.000 1
Cd1 Cd 0.000 0.000 0.500 1
Re1 Re 0.500 0.500 0.295 1
# - density (g cm⁻³) = 12.27
# - final energy (eV/atom) = -7.449



# PBE YCdRe, optimized geometry
data_YCdRe
_cell_length_a 3.713
_cell_length_b 4.723
_cell_length_c 14.166
_cell_angle_alpha 90.00
_cell_angle_beta 90.00
_cell_angle_gamma 90.00
_space_group_name_H-M_alt 'F m m 2'
_space_group_IT_number 42
_space_group_name_Hall 'F 2 -2'
loop_
_atom_site_label
_atom_site_type_symbol
_atom_site_fract_x
_atom_site_fract_y
_atom_site_fract_z
_atom_site_occupancy
Y1 Y 0.000 0.000 0.000 1
Cd1 Cd 0.000 0.000 0.691 1
Re1 Re 0.000 0.000 0.347 1
# - density (g cm⁻³) = 10.36
# - final energy (eV/atom) = -6.163



# PBE YCdRe2, optimized geometry
data_YCdRe2
_cell_length_a 3.681
_cell_length_b 4.830
_cell_length_c 9.097
_cell_angle_alpha 90.00
_cell_angle_beta 90.00
_cell_angle_gamma 90.00
_space_group_name_H-M_alt 'I m m 2'
_space_group_IT_number 44
loop_
_space_group_symop_operation_xyz
'x,y,z'
'-x,-y,z'
'-x,y,z'
'x,-y,z'
'x+1/2,y+1/2,z+1/2'
'-x+1/2,-y+1/2,z+1/2'
'-x+1/2,y+1/2,z+1/2'
'x+1/2,-y+1/2,z+1/2'
loop_
_atom_site_label
_atom_site_type_symbol
_atom_site_fract_x
_atom_site_fract_y
_atom_site_fract_z
_atom_site_occupancy
Y1 Y 0.000 0.000 0.000 1
Cd1 Cd 0.000 0.500 0.222 1
Re1 Re 0.000 0.000 0.458 1
Re2 Re 0.000 0.500 0.782 1
# - density (g cm⁻³) = 11.78
# - final energy (eV/atom) = -7.737



# PBE Y2CdRe, optimized geometry
data_Y2CdRe
_cell_length_a 3.118
_cell_length_b 4.795
_cell_length_c 6.228
_cell_angle_alpha 90.00
_cell_angle_beta 90.00
_cell_angle_gamma 90.00
_space_group_name_H-M_alt 'P m m 2'
_space_group_IT_number 25
loop_
_space_group_symop_operation_xyz
'x,y,z'
'-x,-y,z'
'-x,y,z'
'x,-y,z'
loop_
_atom_site_label
_atom_site_type_symbol
_atom_site_fract_x
_atom_site_fract_y
_atom_site_fract_z
_atom_site_occupancy
Y1 Y 0.000 0.000 0.000 1
Y2 Y 0.500 0.500 0.319 1
Cd1 Cd 0.000 0.000 0.533 1
Re1 Re 0.500 0.500 0.824 1
# - density (g cm⁻³) = 8.50
# - final energy (eV/atom) = -6.215



# PBE YCdRe, optimized geometry
data_YCdRe
_cell_length_a 2.960
_cell_length_b 4.374
_cell_length_c 9.535
_cell_angle_alpha 90.00
_cell_angle_beta 90.00
_cell_angle_gamma 90.00
_space_group_name_H-M_alt 'I m m 2'
_space_group_IT_number 44
loop_
_space_group_symop_operation_xyz
'x,y,z'
'-x,-y,z'
'-x,y,z'
'x,-y,z'
'x+1/2,y+1/2,z+1/2'
'-x+1/2,-y+1/2,z+1/2'
'-x+1/2,y+1/2,z+1/2'
'x+1/2,-y+1/2,z+1/2'
loop_
_atom_site_label
_atom_site_type_symbol
_atom_site_fract_x
_atom_site_fract_y
_atom_site_fract_z
_atom_site_occupancy
Y1 Y 0.000 0.000 0.000 1
Cd1 Cd 0.000 0.000 0.685 1
Re1 Re 0.000 0.000 0.335 1
# - density (g cm⁻³) = 10.42
# - final energy (eV/atom) = -6.215